(1)
{
  "formula": "Ho3Ru",
  "functional": "PBE",
  "state": "relaxed",
  "energy_ev_per_cell": -97.5,
  "lattice": [[-1.621, 5.991, -0.972], [-6.382, -2.175, -2.761], [-3.715, 0.344, 8.318]],
  "species": ["Ho", "Ho", "Ho", "Ho", "Ho", "Ho", "Ho", "Ho", "Ho", "Ho", "Ho", "Ho", "Ru", "Ru", "Ru", "Ru"],
  "fractional_positions": [[0.368, 0.959, 0.750], [0.632, 0.041, 0.250], [0.331, 0.677, 0.436], [0.868, 0.541, 0.250], [0.831, 0.823, 0.936], [0.132, 0.459, 0.750], [0.331, 0.677, 0.064], [0.831, 0.823, 0.564], [0.169, 0.177, 0.436], [0.669, 0.323, 0.936], [0.669, 0.323, 0.564], [0.169, 0.177, 0.064], [0.962, 0.115, 0.750], [0.038, 0.885, 0.250], [0.538, 0.615, 0.750], [0.462, 0.385, 0.250]]
}

(2)
{
  "formula": "Ho13Ru2",
  "functional": "PBE",
  "state": "relaxed",
  "energy_ev_per_cell": -79.6,
  "lattice": [[-2.953, -5.156, -2.155], [1.618, -2.761, 7.423], [-8.280, 4.891, -0.759]],
  "species": ["Ho", "Ho", "Ho", "Ho", "Ho", "Ho", "Ho", "Ho", "Ho", "Ho", "Ho", "Ho", "Ho", "Ru", "Ru"],
  "fractional_positions": [[0.946, 0.517, 0.684], [0.311, 0.833, 0.224], [0.414, 0.329, 0.560], [0.554, 0.228, 0.147], [0.825, 0.063, 0.390], [0.689, 0.167, 0.776], [0.223, 0.380, 0.934], [0.446, 0.772, 0.853], [0.777, 0.620, 0.066], [0.054, 0.483, 0.316], [0.586, 0.671, 0.440], [0.175, 0.937, 0.610], [0.000, 0.000, 0.000], [0.804, 0.832, 0.714], [0.196, 0.168, 0.286]]
}

(3)
{
  "formula": "Ho3Ru2",
  "functional": "PBE",
  "state": "relaxed",
  "energy_ev_per_cell": -67.5,
  "lattice": [[-4.403, 5.785, 2.170], [-2.827, -7.036, -0.241], [1.306, -0.677, 4.454]],
  "species": ["Ru", "Ru", "Ru", "Ru", "Ho", "Ho", "Ho", "Ho", "Ho", "Ho"],
  "fractional_positions": [[0.000, 0.000, 0.000], [0.000, 0.000, 0.500], [0.667, 0.333, 0.250], [0.333, 0.667, 0.750], [0.616, 0.695, 0.250], [0.305, 0.921, 0.250], [0.921, 0.616, 0.750], [0.384, 0.305, 0.750], [0.079, 0.384, 0.250], [0.695, 0.079, 0.750]]
}

(4)
{
  "formula": "Ho6Ru5",
  "functional": "PBE",
  "state": "relaxed",
  "energy_ev_per_cell": -77.6,
  "lattice": [[-0.709, 3.240, 3.495], [-5.433, 2.322, -3.257], [-1.021, -7.439, 3.385]],
  "species": ["Ho", "Ho", "Ho", "Ho", "Ho", "Ho", "Ru", "Ru", "Ru", "Ru", "Ru"],
  "fractional_positions": [[0.833, 0.083, 0.666], [0.833, 0.583, 0.666], [0.500, 0.251, 0.000], [0.500, 0.749, 0.000], [0.167, 0.417, 0.334], [0.167, 0.917, 0.334], [0.337, 0.337, 0.673], [0.663, 0.663, 0.327], [0.329, 0.829, 0.659], [0.000, 0.500, 0.000], [0.671, 0.171, 0.341]]
}

(5)
{
  "formula": "Ho3Ru",
  "functional": "PBE",
  "state": "relaxed",
  "energy_ev_per_cell": -96.5,
  "lattice": [[6.077, 0.001, 0.001], [3.040, 8.191, -0.001], [3.040, -0.001, 8.191]],
  "species": ["Ho", "Ho", "Ho", "Ho", "Ho", "Ho", "Ho", "Ho", "Ho", "Ho", "Ho", "Ho", "Ru", "Ru", "Ru", "Ru"],
  "fractional_positions": [[0.407, 0.594, 0.000], [0.665, 0.192, 0.000], [0.857, 0.807, 0.000], [0.142, 0.358, 0.358], [0.999, 0.000, 0.594], [0.593, 0.000, 0.406], [0.335, 0.000, 0.808], [0.858, 0.642, 0.642], [0.500, 0.642, 0.358], [0.500, 0.358, 0.642], [0.001, 0.406, 0.000], [0.143, 0.000, 0.193], [0.289, 0.712, 0.712], [0.000, 0.288, 0.712], [0.712, 0.288, 0.288], [0.000, 0.712, 0.288]]
}

(6)
{
  "formula": "Ho3Ru",
  "functional": "PBE",
  "state": "relaxed",
  "energy_ev_per_cell": -192.2,
  "lattice": [[-4.153, 3.717, 2.677], [-8.026, -8.209, -1.052], [2.922, -4.182, 10.338]],
  "species": ["Ho", "Ho", "Ho", "Ho", "Ho", "Ho", "Ho", "Ho", "Ho", "Ho", "Ho", "Ho", "Ho", "Ho", "Ho", "Ho", "Ho", "Ho", "Ho", "Ho", "Ho", "Ho", "Ho", "Ho", "Ru", "Ru", "Ru", "Ru", "Ru", "Ru", "Ru", "Ru"],
  "fractional_positions": [[0.944, 0.868, 0.415], [0.727, 0.944, 0.132], [0.951, 0.159, 0.283], [0.273, 0.132, 0.056], [0.049, 0.717, 0.159], [0.056, 0.415, 0.132], [0.773, 0.556, 0.368], [0.049, 0.283, 0.841], [0.273, 0.868, 0.944], [0.951, 0.841, 0.717], [0.444, 0.085, 0.368], [0.549, 0.659, 0.783], [0.227, 0.368, 0.444], [0.556, 0.632, 0.085], [0.056, 0.585, 0.868], [0.727, 0.056, 0.868], [0.944, 0.132, 0.585], [0.227, 0.632, 0.556], [0.773, 0.444, 0.632], [0.451, 0.783, 0.341], [0.451, 0.217, 0.659], [0.549, 0.341, 0.217], [0.556, 0.368, 0.915], [0.444, 0.915, 0.632], [0.227, 0.940, 0.202], [0.273, 0.560, 0.298], [0.773, 0.202, 0.060], [0.773, 0.798, 0.940], [0.273, 0.440, 0.702], [0.227, 0.060, 0.798], [0.727, 0.298, 0.440], [0.727, 0.702, 0.560]]
}

(7)
{
  "formula": "Ho3Ru",
  "functional": "PBE",
  "state": "relaxed",
  "energy_ev_per_cell": -22.8,
  "lattice": [[-3.036, 1.886, -0.256], [-1.174, -1.512, 2.780], [3.668, 6.602, 5.140]],
  "species": ["Ho", "Ho", "Ho", "Ru"],
  "fractional_positions": [[0.500, 0.000, 0.757], [0.000, 0.500, 0.472], [0.500, 0.500, 0.128], [0.000, 0.000, 0.977]]
}

(8)
{
  "formula": "Ho5Ru4",
  "functional": "PBE",
  "state": "relaxed",
  "energy_ev_per_cell": -62.7,
  "lattice": [[-0.918, -1.186, 4.065], [4.172, -2.812, 2.431], [4.533, 6.407, 5.202]],
  "species": ["Ru", "Ru", "Ru", "Ru", "Ho", "Ho", "Ho", "Ho", "Ho"],
  "fractional_positions": [[0.396, 0.593, 0.614], [0.450, 0.251, 0.850], [0.604, 0.407, 0.386], [0.550, 0.749, 0.150], [0.111, 0.172, 0.605], [0.755, 0.665, 0.825], [0.245, 0.335, 0.175], [0.889, 0.828, 0.395], [0.000, 0.000, 0.000]]
}

(9)
{
  "formula": "Ho4Ru3",
  "functional": "PBE",
  "state": "relaxed",
  "energy_ev_per_cell": -48.3,
  "lattice": [[-3.461, -3.014, -1.572], [-1.610, -3.557, 2.879], [-6.964, 2.427, 3.192]],
  "species": ["Ru", "Ru", "Ru", "Ho", "Ho", "Ho", "Ho"],
  "fractional_positions": [[0.251, 0.251, 0.246], [0.000, 0.000, 0.000], [0.749, 0.749, 0.754], [0.126, 0.126, 0.623], [0.376, 0.376, 0.871], [0.624, 0.624, 0.129], [0.874, 0.874, 0.377]]
}

(10)
{
  "formula": "HoRuS",
  "functional": "PBE",
  "state": "relaxed",
  "energy_ev_per_cell": -39.9,
  "lattice": [[3.457, 0.000, 0.000], [-1.729, 2.995, 0.000], [0.000, 0.000, 10.906]],
  "species": ["Ru", "Ru", "S", "S", "Ho", "Ho"],
  "fractional_positions": [[0.111, 0.222, 0.124], [0.111, 0.222, 0.876], [0.111, 0.222, 0.500], [0.444, 0.889, 0.000], [0.444, 0.889, 0.679], [0.444, 0.889, 0.321]]
}

(11)
{
  "formula": "Ho4RuSe2S",
  "functional": "PBE",
  "state": "relaxed",
  "energy_ev_per_cell": -99.9,
  "lattice": [[-4.514, -6.647, -0.970], [5.615, -4.403, 3.820], [-3.105, 6.199, 3.662]],
  "species": ["Ho", "Ho", "Ho", "Ho", "Ho", "Ho", "Ho", "Ho", "Se", "Se", "Se", "Se", "S", "S", "Ru", "Ru"],
  "fractional_positions": [[0.771, 0.263, 0.017], [0.237, 0.729, 0.483], [0.763, 0.271, 0.517], [0.767, 0.733, 0.992], [0.229, 0.737, 0.983], [0.767, 0.733, 0.508], [0.233, 0.267, 0.492], [0.233, 0.267, 0.008], [0.500, 0.500, 0.000], [0.500, 0.000, 0.000], [0.000, 0.000, 0.500], [0.500, 0.000, 0.500], [0.000, 0.000, 0.000], [0.500, 0.500, 0.500], [0.000, 0.500, 0.500], [0.000, 0.500, 0.000]]
}

(12)
{
  "formula": "Ho6Sb3Ru",
  "functional": "PBE",
  "state": "relaxed",
  "energy_ev_per_cell": -109.0,
  "lattice": [[7.489, 0.000, 0.000], [0.000, 9.063, -0.116], [0.000, -2.136, 8.809]],
  "species": ["Sb", "Sb", "Sb", "Sb", "Sb", "Sb", "Ho", "Ho", "Ho", "Ho", "Ho", "Ho", "Ho", "Ho", "Ho", "Ho", "Ho", "Ho", "Ru", "Ru"],
  "fractional_positions": [[0.490, 0.293, 0.071], [0.990, 0.071, 0.293], [0.490, 0.929, 0.707], [0.990, 0.707, 0.929], [0.368, 0.399, 0.601], [0.868, 0.601, 0.399], [0.203, 0.755, 0.245], [0.669, 0.631, 0.709], [0.677, 0.596, 0.096], [0.177, 0.404, 0.904], [0.169, 0.369, 0.291], [0.677, 0.904, 0.404], [0.177, 0.096, 0.596], [0.169, 0.709, 0.631], [0.703, 0.245, 0.755], [0.250, 0.006, 0.994], [0.669, 0.291, 0.369], [0.750, 0.994, 0.006], [0.492, 0.861, 0.139], [0.992, 0.139, 0.861]]
}

(13)
{
  "formula": "HoSbRu",
  "functional": "PBE",
  "state": "relaxed",
  "energy_ev_per_cell": -19.6,
  "lattice": [[3.481, 0.000, 0.000], [0.000, 4.596, 0.000], [0.000, -2.298, 3.980]],
  "species": ["Ru", "Sb", "Ho"],
  "fractional_positions": [[0.167, 0.333, 0.667], [0.167, 0.000, 0.000], [0.667, 0.667, 0.333]]
}

(14)
{
  "formula": "HoSbRu2",
  "functional": "PBE",
  "state": "relaxed",
  "energy_ev_per_cell": -28.8,
  "lattice": [[-1.945, -2.601, 1.103], [2.306, -0.058, 3.930], [-2.962, 2.970, 1.782]],
  "species": ["Ho", "Sb", "Ru", "Ru"],
  "fractional_positions": [[0.500, 0.500, 0.500], [0.500, 0.000, 0.000], [0.000, 0.500, 0.000], [0.000, 0.000, 0.500]]
}

(15)
{
  "formula": "Ho4SbRu",
  "functional": "PBE",
  "state": "relaxed",
  "energy_ev_per_cell": -141.1,
  "lattice": [[4.130, 0.000, 0.000], [0.000, 8.007, 0.000], [0.000, 0.000, 18.928]],
  "species": ["Ho", "Ho", "Ho", "Ho", "Ho", "Ho", "Ho", "Ho", "Ho", "Ho", "Ho", "Ho", "Ho", "Ho", "Ho", "Ho", "Ru", "Ru", "Ru", "Ru", "Sb", "Sb", "Sb", "Sb"],
  "fractional_positions": [[0.250, 0.546, 0.714], [0.750, 0.365, 0.857], [0.250, 0.046, 0.786], [0.250, 0.143, 0.550], [0.750, 0.857, 0.450], [0.750, 0.865, 0.643], [0.750, 0.357, 0.050], [0.750, 0.954, 0.214], [0.750, 0.998, 0.933], [0.250, 0.635, 0.143], [0.250, 0.002, 0.067], [0.750, 0.498, 0.567], [0.750, 0.454, 0.286], [0.250, 0.135, 0.357], [0.250, 0.643, 0.950], [0.250, 0.502, 0.433], [0.250, 0.249, 0.947], [0.250, 0.749, 0.553], [0.750, 0.751, 0.053], [0.750, 0.251, 0.447], [0.250, 0.255, 0.192], [0.750, 0.245, 0.692], [0.750, 0.745, 0.808], [0.250, 0.755, 0.308]]
}

(16)
{
  "formula": "Ho4SbRu",
  "functional": "PBE",
  "state": "relaxed",
  "energy_ev_per_cell": -68.5,
  "lattice": [[6.823, 0.000, -0.041], [0.000, 6.955, 0.000], [-0.137, 0.000, 7.477]],
  "species": ["Sb", "Sb", "Ho", "Ho", "Ho", "Ho", "Ho", "Ho", "Ho", "Ho", "Ru", "Ru"],
  "fractional_positions": [[0.000, 0.000, 0.000], [0.500, 0.500, 0.000], [0.855, 0.655, 0.202], [0.355, 0.845, 0.202], [0.329, 0.338, 0.359], [0.171, 0.838, 0.641], [0.145, 0.345, 0.798], [0.645, 0.155, 0.798], [0.671, 0.662, 0.641], [0.829, 0.162, 0.359], [0.500, 0.000, 0.500], [0.000, 0.500, 0.500]]
}

(17)
{
  "formula": "HoSb12Ru4",
  "functional": "PBE",
  "state": "relaxed",
  "energy_ev_per_cell": -95.9,
  "lattice": [[7.654, 0.000, -2.706], [-3.827, 6.628, -2.706], [0.000, 0.000, 8.118]],
  "species": ["Sb", "Sb", "Sb", "Sb", "Sb", "Sb", "Sb", "Sb", "Sb", "Sb", "Sb", "Sb", "Ho", "Ru", "Ru", "Ru", "Ru"],
  "fractional_positions": [[0.662, 0.819, 0.157], [0.157, 0.662, 0.819], [0.338, 0.181, 0.843], [0.843, 0.662, 0.505], [0.819, 0.157, 0.662], [0.495, 0.157, 0.338], [0.505, 0.843, 0.662], [0.181, 0.843, 0.338], [0.662, 0.505, 0.843], [0.843, 0.338, 0.181], [0.338, 0.495, 0.157], [0.157, 0.338, 0.495], [0.000, 0.000, 0.000], [0.000, 0.500, 0.000], [0.000, 0.000, 0.500], [0.500, 0.500, 0.500], [0.500, 0.000, 0.000]]
}

(18)
{
  "formula": "Ho3SbRu",
  "functional": "PBE",
  "state": "relaxed",
  "energy_ev_per_cell": -60.0,
  "lattice": [[4.362, -0.001, 0.000], [0.002, 6.735, 0.000], [0.000, 0.000, 9.109]],
  "species": ["Ho", "Ho", "Ho", "Ho", "Ho", "Ho", "Ru", "Ru", "Sb", "Sb"],
  "fractional_positions": [[0.250, 0.004, 0.350], [0.250, 0.250, 0.910], [0.750, 0.504, 0.650], [0.750, 0.996, 0.650], [0.750, 0.750, 0.090], [0.250, 0.496, 0.350], [0.250, 0.250, 0.605], [0.750, 0.750, 0.395], [0.750, 0.250, 0.142], [0.250, 0.750, 0.858]]
}

(19)
{
  "formula": "Ho3Sc7Ru4",
  "functional": "PBE",
  "state": "relaxed",
  "energy_ev_per_cell": -99.5,
  "lattice": [[3.909, 0.000, 0.986], [1.333, 8.052, 2.955], [-0.369, 0.016, 9.705]],
  "species": ["Sc", "Sc", "Sc", "Sc", "Sc", "Sc", "Sc", "Ru", "Ru", "Ru", "Ru", "Ho", "Ho", "Ho"],
  "fractional_positions": [[0.832, 0.413, 0.923], [0.168, 0.587, 0.077], [0.321, 0.842, 0.517], [0.679, 0.158, 0.483], [0.491, 0.247, 0.772], [0.000, 0.000, 0.000], [0.509, 0.753, 0.228], [0.326, 0.578, 0.769], [0.112, 0.092, 0.684], [0.674, 0.422, 0.231], [0.888, 0.908, 0.316], [0.692, 0.821, 0.795], [0.308, 0.179, 0.205], [0.000, 0.500, 0.500]]
}

(20)
{
  "formula": "Ho3Sc2Ru4",
  "functional": "PBE",
  "state": "relaxed",
  "energy_ev_per_cell": -67.2,
  "lattice": [[-4.663, 0.878, 0.205], [-2.587, 0.034, -3.983], [-1.600, -8.719, 0.966]],
  "species": ["Ru", "Ru", "Ru", "Ru", "Sc", "Sc", "Ho", "Ho", "Ho"],
  "fractional_positions": [[0.667, 0.667, 0.896], [0.333, 0.333, 0.104], [0.000, 0.000, 0.649], [0.000, 0.000, 0.351], [0.333, 0.333, 0.798], [0.667, 0.667, 0.202], [0.000, 0.000, 0.000], [0.333, 0.333, 0.409], [0.667, 0.667, 0.591]]
}